1.
Below is a relaxed LaTcF2 crystal, with properties calculated at the PBEsol level.

Cell and atoms, written as CIF:
```
data_LaTcF2
_cell_length_a 7.906
_cell_length_b 7.906
_cell_length_c 7.906
_cell_angle_alpha 22.28
_cell_angle_beta 22.28
_cell_angle_gamma 22.28
_space_group_name_H-M_alt 'P 1'
_space_group_IT_number 1
loop_
_space_group_symop_operation_xyz
'x,y,z'
loop_
_atom_site_label
_atom_site_fract_x
_atom_site_fract_y
_atom_site_fract_z
_atom_site_occupancy
La1 0.000 0.000 0.000 1
Tc1 0.500 0.500 0.500 1
F1 0.410 0.410 0.410 1
F2 0.590 0.590 0.590 1
```

Properties
space group	No. 166
Fermi-level density of states	3.04	states/eV/cell
crystal system	trigonal
E_form (uncorrected)	-5.4	eV per formula unit

2.
Below is a relaxed LaMnAl3 crystal, with properties calculated at the PBEsol level.

Cell and atoms, written as CIF:
```
data_LaMnAl3
_cell_length_a 4.581
_cell_length_b 4.581
_cell_length_c 4.581
_cell_angle_alpha 90.00
_cell_angle_beta 90.00
_cell_angle_gamma 90.00
_space_group_name_H-M_alt 'P 1'
_space_group_IT_number 1
loop_
_space_group_symop_operation_xyz
'x,y,z'
loop_
_atom_site_label
_atom_site_fract_x
_atom_site_fract_y
_atom_site_fract_z
_atom_site_occupancy
La1 0.000 0.000 0.000 1
Mn1 0.500 0.500 0.500 1
Al1 0.000 0.500 0.500 1
Al2 0.500 0.000 0.500 1
Al3 0.500 0.500 0.000 1
```

Properties
space group	No. 221
calculated formation energy	-330	meV per atom
Fermi-level density of states	1.84	states/eV/cell
crystal system	cubic